Entry 1:
# Pr12Ho6Mg

A geometry-optimized Pr12Ho6Mg structure (PBE, Alexandria).

Lattice parameters (Å, degrees): 8.705 8.705 8.705 88.71 88.71 88.71
Atoms (fractional coordinates):
Pr (0.038, 0.931, 0.285)
Pr (0.069, 0.715, 0.962)
Pr (0.134, 0.483, 0.319)
Pr (0.285, 0.038, 0.931)
Pr (0.319, 0.134, 0.483)
Pr (0.483, 0.319, 0.134)
Pr (0.517, 0.681, 0.866)
Pr (0.681, 0.866, 0.517)
Pr (0.715, 0.962, 0.069)
Pr (0.866, 0.517, 0.681)
Pr (0.931, 0.285, 0.038)
Pr (0.962, 0.069, 0.715)
Ho (0.215, 0.759, 0.601)
Ho (0.241, 0.399, 0.785)
Ho (0.399, 0.785, 0.241)
Ho (0.601, 0.215, 0.759)
Ho (0.759, 0.601, 0.215)
Ho (0.785, 0.241, 0.399)
Mg (0.500, 0.500, 0.500)

Output
space group	R-3 (148)
formation enthalpy at 0 K	214.9	kJ/mol of formula units
electronic total energy	-4.431	eV/atom

=====

Entry 2:
# PrHo2Mg

A geometry-optimized PrHo2Mg structure (PBE, Alexandria).

Lattice parameters (Å, degrees): 5.553 5.553 5.553 60.00 60.00 60.00
Atoms (fractional coordinates):
Pr (0.000, 0.000, 0.000)
Ho (0.250, 0.250, 0.250)
Ho (0.750, 0.750, 0.750)
Mg (0.500, 0.500, 0.500)

Output
space group	Fm-3m (225)
formation enthalpy at 0 K	38.8	kJ/mol of formula units
electronic total energy	-3.782	eV/atom

=====

Entry 3:
# Pr8HoMg2

A geometry-optimized Pr8HoMg2 structure (PBE, Alexandria).

Lattice parameters (Å, degrees): 9.201 9.201 5.882 103.00 103.00 120.90
Atoms (fractional coordinates):
Pr (0.097, 0.323, 0.637)
Pr (0.210, 0.790, 0.000)
Pr (0.323, 0.097, 0.637)
Pr (0.409, 0.409, 0.205)
Pr (0.591, 0.591, 0.795)
Pr (0.677, 0.903, 0.363)
Pr (0.790, 0.210, 0.000)
Pr (0.903, 0.677, 0.363)
Ho (0.000, 0.000, 0.000)
Mg (0.307, 0.693, 0.500)
Mg (0.693, 0.307, 0.500)

Output
space group	C2/m (12)
formation enthalpy at 0 K	110.7	kJ/mol of formula units
electronic total energy	-4.078	eV/atom

=====

Entry 4:
# PrHo4Mg

A geometry-optimized PrHo4Mg structure (PBE, Alexandria).

Lattice parameters (Å, degrees): 3.599 3.599 14.193 90.00 90.00 90.00
Atoms (fractional coordinates):
Pr (0.000, 0.000, 0.000)
Ho (0.000, 0.000, 0.351)
Ho (0.000, 0.000, 0.649)
Ho (0.500, 0.500, 0.181)
Ho (0.500, 0.500, 0.819)
Mg (0.500, 0.500, 0.500)

Output
space group	P4/mmm (123)
formation enthalpy at 0 K	-3.4	kJ/mol of formula units
electronic total energy	-4.120	eV/atom

=====

Entry 5:
# Pr2HoMg

A geometry-optimized Pr2HoMg structure (PBE, Alexandria).

Lattice parameters (Å, degrees): 3.585 10.498 10.498 19.22 90.00 90.00
Atoms (fractional coordinates):
Pr (0.000, 0.000, 0.000)
Pr (0.000, 0.230, 0.230)
Ho (0.500, 0.377, 0.377)
Mg (0.500, 0.616, 0.616)

Output
space group	Amm2 (38)
formation enthalpy at 0 K	33.5	kJ/mol of formula units
electronic total energy	-3.846	eV/atom

=====

Entry 6:
# PrHo3Mg3

A geometry-optimized PrHo3Mg3 structure (PBE, Alexandria).

Lattice parameters (Å, degrees): 9.164 5.518 9.171 90.00 119.95 90.00
Atoms (fractional coordinates):
Pr (0.167, 0.250, 0.333)
Pr (0.833, 0.750, 0.667)
Ho (0.262, 0.750, 0.797)
Ho (0.297, 0.250, 0.035)
Ho (0.465, 0.250, 0.762)
Ho (0.535, 0.750, 0.238)
Ho (0.703, 0.750, 0.965)
Ho (0.738, 0.250, 0.203)
Mg (0.025, 0.250, 0.617)
Mg (0.117, 0.750, 0.092)
Mg (0.408, 0.750, 0.526)
Mg (0.592, 0.250, 0.474)
Mg (0.883, 0.250, 0.908)
Mg (0.975, 0.750, 0.383)

Output
space group	P2_1/m (11)
formation enthalpy at 0 K	-1.2	kJ/mol of formula units
electronic total energy	-3.330	eV/atom

=====

Entry 7:
# PrHoMg

A geometry-optimized PrHoMg structure (PBE, Alexandria).

Lattice parameters (Å, degrees): 5.589 3.827 8.891 90.00 106.71 90.00
Atoms (fractional coordinates):
Pr (0.000, 0.000, 0.000)
Pr (0.461, 0.500, 0.917)
Ho (0.634, 0.000, 0.284)
Ho (0.829, 0.500, 0.632)
Mg (0.151, 0.500, 0.328)
Mg (0.312, 0.000, 0.589)

Output
space group	Pm (6)
formation enthalpy at 0 K	1.5	kJ/mol of formula units
electronic total energy	-3.645	eV/atom

=====

Entry 8:
# Pr6HoMg

A geometry-optimized Pr6HoMg structure (PBE, Alexandria).

Lattice parameters (Å, degrees): 5.117 5.117 10.319 90.00 90.00 90.00
Atoms (fractional coordinates):
Pr (0.000, 0.000, 0.000)
Pr (0.000, 0.000, 0.500)
Pr (0.000, 0.500, 0.248)
Pr (0.000, 0.500, 0.752)
Pr (0.500, 0.000, 0.248)
Pr (0.500, 0.000, 0.752)
Ho (0.500, 0.500, 0.500)
Mg (0.500, 0.500, 0.000)

Output
space group	P4/mmm (123)
formation enthalpy at 0 K	-2.3	kJ/mol of formula units
electronic total energy	-4.359	eV/atom

=====

Entry 9:
# Pr3HoMg4

A geometry-optimized Pr3HoMg4 structure (PBE, Alexandria).

Lattice parameters (Å, degrees): 3.871 3.871 15.587 90.00 90.00 90.00
Atoms (fractional coordinates):
Pr (0.000, 0.000, 0.000)
Pr (0.000, 0.000, 0.256)
Pr (0.000, 0.000, 0.744)
Ho (0.000, 0.000, 0.500)
Mg (0.500, 0.500, 0.128)
Mg (0.500, 0.500, 0.384)
Mg (0.500, 0.500, 0.616)
Mg (0.500, 0.500, 0.872)

Output
space group	P4/mmm (123)
formation enthalpy at 0 K	-78.0	kJ/mol of formula units
electronic total energy	-3.263	eV/atom

=====

Entry 10:
# Pr4Ho5Mg

A geometry-optimized Pr4Ho5Mg structure (PBE, Alexandria).

Lattice parameters (Å, degrees): 3.648 3.648 24.257 90.00 90.00 90.00
Atoms (fractional coordinates):
Pr (0.000, 0.000, 0.104)
Pr (0.000, 0.000, 0.313)
Pr (0.000, 0.000, 0.687)
Pr (0.000, 0.000, 0.896)
Ho (0.500, 0.500, 0.000)
Ho (0.500, 0.500, 0.208)
Ho (0.500, 0.500, 0.415)
Ho (0.500, 0.500, 0.585)
Ho (0.500, 0.500, 0.792)
Mg (0.000, 0.000, 0.500)

Output
space group	P4/mmm (123)
formation enthalpy at 0 K	2.9	kJ/mol of formula units
electronic total energy	-4.357	eV/atom

=====

Entry 11:
# Pr8Ho5Mg

A geometry-optimized Pr8Ho5Mg structure (PBE, Alexandria).

Lattice parameters (Å, degrees): 8.619 8.619 8.619 110.57 110.57 107.30
Atoms (fractional coordinates):
Pr (0.089, 0.681, 0.775)
Pr (0.168, 0.271, 0.765)
Pr (0.319, 0.094, 0.408)
Pr (0.506, 0.402, 0.235)
Pr (0.598, 0.832, 0.103)
Pr (0.686, 0.911, 0.592)
Pr (0.729, 0.494, 0.897)
Pr (0.906, 0.314, 0.225)
Ho (0.226, 0.627, 0.197)
Ho (0.373, 0.569, 0.598)
Ho (0.431, 0.029, 0.803)
Ho (0.750, 0.250, 0.500)
Ho (0.971, 0.774, 0.402)
Mg (0.000, 0.000, 0.000)

Output
space group	I-4 (82)
formation enthalpy at 0 K	315.7	kJ/mol of formula units
electronic total energy	-4.246	eV/atom

=====

Entry 12:
# Pr3Ho2Mg2

A geometry-optimized Pr3Ho2Mg2 structure (PBE, Alexandria).

Lattice parameters (Å, degrees): 12.100 12.100 3.513 90.00 90.00 154.45
Atoms (fractional coordinates):
Pr (0.000, 0.000, 0.000)
Pr (0.150, 0.850, 0.000)
Pr (0.850, 0.150, 0.000)
Ho (0.288, 0.712, 0.500)
Ho (0.712, 0.288, 0.500)
Mg (0.430, 0.570, 0.500)
Mg (0.570, 0.430, 0.500)

Output
space group	Cmmm (65)
formation enthalpy at 0 K	25.0	kJ/mol of formula units
electronic total energy	-3.775	eV/atom

=====

Entry 13:
# Pr6HoMg2

A geometry-optimized Pr6HoMg2 structure (PBE, Alexandria).

Lattice parameters (Å, degrees): 10.274 10.274 5.997 97.04 97.04 70.57
Atoms (fractional coordinates):
Pr (0.050, 0.827, 0.966)
Pr (0.150, 0.384, 0.149)
Pr (0.173, 0.950, 0.534)
Pr (0.280, 0.501, 0.701)
Pr (0.384, 0.150, 0.649)
Pr (0.499, 0.720, 0.799)
Pr (0.501, 0.280, 0.201)
Pr (0.616, 0.850, 0.351)
Pr (0.720, 0.499, 0.299)
Pr (0.827, 0.050, 0.466)
Pr (0.850, 0.616, 0.851)
Pr (0.950, 0.173, 0.034)
Ho (0.354, 0.646, 0.250)
Ho (0.646, 0.354, 0.750)
Mg (0.021, 0.299, 0.592)
Mg (0.299, 0.021, 0.092)
Mg (0.701, 0.979, 0.908)
Mg (0.979, 0.701, 0.408)

Output
space group	C2/c (15)
formation enthalpy at 0 K	32.8	kJ/mol of formula units
electronic total energy	-4.012	eV/atom

=====

Entry 14:
# Pr2HoMg

A geometry-optimized Pr2HoMg structure (PBE, Alexandria).

Lattice parameters (Å, degrees): 5.635 5.635 5.635 60.00 60.00 60.00
Atoms (fractional coordinates):
Pr (0.250, 0.250, 0.250)
Pr (0.750, 0.750, 0.750)
Ho (0.000, 0.000, 0.000)
Mg (0.500, 0.500, 0.500)

Output
space group	Fm-3m (225)
formation enthalpy at 0 K	5.2	kJ/mol of formula units
electronic total energy	-3.919	eV/atom

=====

Entry 15:
# PrHo2Mg

A geometry-optimized PrHo2Mg structure (PBE, Alexandria).

Lattice parameters (Å, degrees): 3.695 3.695 8.907 90.00 90.00 90.00
Atoms (fractional coordinates):
Pr (0.000, 0.000, 0.000)
Ho (0.500, 0.500, 0.280)
Ho (0.500, 0.500, 0.720)
Mg (0.000, 0.000, 0.500)

Output
space group	P4/mmm (123)
formation enthalpy at 0 K	-9.1	kJ/mol of formula units
electronic total energy	-3.906	eV/atom

=====

Entry 16:
# Pr6Ho2Mg

A geometry-optimized Pr6Ho2Mg structure (PBE, Alexandria).

Lattice parameters (Å, degrees): 6.763 6.763 8.905 100.61 100.61 49.95
Atoms (fractional coordinates):
Pr (0.084, 0.084, 0.370)
Pr (0.149, 0.149, 0.998)
Pr (0.389, 0.389, 0.331)
Pr (0.611, 0.611, 0.669)
Pr (0.851, 0.851, 0.002)
Pr (0.916, 0.916, 0.630)
Ho (0.295, 0.295, 0.709)
Ho (0.705, 0.705, 0.291)
Mg (0.500, 0.500, 0.000)

Output
space group	C2/m (12)
formation enthalpy at 0 K	33.0	kJ/mol of formula units
electronic total energy	-4.343	eV/atom

=====

Entry 17:
# PrHo2Mg3

A geometry-optimized PrHo2Mg3 structure (PBE, Alexandria).

Lattice parameters (Å, degrees): 3.809 3.809 11.522 90.00 90.00 90.00
Atoms (fractional coordinates):
Pr (0.000, 0.000, 0.000)
Ho (0.000, 0.000, 0.339)
Ho (0.000, 0.000, 0.661)
Mg (0.500, 0.500, 0.178)
Mg (0.500, 0.500, 0.500)
Mg (0.500, 0.500, 0.822)

Output
space group	P4/mmm (123)
formation enthalpy at 0 K	-48.6	kJ/mol of formula units
electronic total energy	-3.204	eV/atom

=====

Entry 18:
# Pr2Ho3Mg

A geometry-optimized Pr2Ho3Mg structure (PBE, Alexandria).

Lattice parameters (Å, degrees): 7.642 7.642 6.791 93.58 93.58 99.10
Atoms (fractional coordinates):
Pr (0.070, 0.603, 0.801)
Pr (0.397, 0.930, 0.699)
Pr (0.603, 0.070, 0.301)
Pr (0.930, 0.397, 0.199)
Ho (0.048, 0.952, 0.250)
Ho (0.294, 0.327, 0.514)
Ho (0.327, 0.294, 0.014)
Ho (0.673, 0.706, 0.986)
Ho (0.706, 0.673, 0.486)
Ho (0.952, 0.048, 0.750)
Mg (0.321, 0.679, 0.250)
Mg (0.679, 0.321, 0.750)

Output
space group	C2/c (15)
formation enthalpy at 0 K	74.4	kJ/mol of formula units
electronic total energy	-4.019	eV/atom

=====

Entry 19:
# Pr3HoMg6

A geometry-optimized Pr3HoMg6 structure (PBE, Alexandria).

Lattice parameters (Å, degrees): 9.484 5.345 11.444 90.00 105.26 90.00
Atoms (fractional coordinates):
Pr (0.038, 0.250, 0.394)
Pr (0.150, 0.750, 0.213)
Pr (0.256, 0.250, 0.005)
Pr (0.744, 0.750, 0.995)
Pr (0.850, 0.250, 0.787)
Pr (0.962, 0.750, 0.606)
Ho (0.452, 0.250, 0.599)
Ho (0.548, 0.750, 0.401)
Mg (0.060, 0.750, 0.905)
Mg (0.172, 0.250, 0.707)
Mg (0.266, 0.750, 0.518)
Mg (0.355, 0.750, 0.811)
Mg (0.367, 0.250, 0.305)
Mg (0.455, 0.750, 0.106)
Mg (0.545, 0.250, 0.894)
Mg (0.633, 0.750, 0.695)
Mg (0.645, 0.250, 0.189)
Mg (0.734, 0.250, 0.482)
Mg (0.828, 0.750, 0.293)
Mg (0.940, 0.250, 0.095)

Output
space group	P2_1/m (11)
formation enthalpy at 0 K	-76.0	kJ/mol of formula units
electronic total energy	-2.927	eV/atom

=====

Entry 20:
# PrHo6Mg2

A geometry-optimized PrHo6Mg2 structure (PBE, Alexandria).

Lattice parameters (Å, degrees): 4.869 4.869 11.989 90.00 90.00 90.00
Atoms (fractional coordinates):
Pr (0.000, 0.000, 0.000)
Ho (0.000, 0.000, 0.500)
Ho (0.000, 0.500, 0.290)
Ho (0.000, 0.500, 0.710)
Ho (0.500, 0.000, 0.290)
Ho (0.500, 0.000, 0.710)
Ho (0.500, 0.500, 0.500)
Mg (0.500, 0.500, 0.115)
Mg (0.500, 0.500, 0.885)

Output
space group	P4/mmm (123)
formation enthalpy at 0 K	116.8	kJ/mol of formula units
electronic total energy	-3.803	eV/atom

=====

Entry 21:
# PrHo4Mg

A geometry-optimized PrHo4Mg structure (PBE, Alexandria).

Lattice parameters (Å, degrees): 6.102 6.102 11.858 104.73 104.73 60.34
Atoms (fractional coordinates):
Pr (0.000, 0.500, 0.000)
Pr (0.500, 0.000, 0.500)
Ho (0.166, 0.670, 0.498)
Ho (0.250, 0.419, 0.749)
Ho (0.330, 0.834, 0.002)
Ho (0.419, 0.250, 0.249)
Ho (0.581, 0.750, 0.751)
Ho (0.670, 0.166, 0.998)
Ho (0.750, 0.581, 0.251)
Ho (0.834, 0.330, 0.502)
Mg (0.079, 0.921, 0.250)
Mg (0.921, 0.079, 0.750)

Output
space group	C2/c (15)
formation enthalpy at 0 K	17.0	kJ/mol of formula units
electronic total energy	-4.085	eV/atom

=====

Entry 22:
# Pr12Ho7Mg

A geometry-optimized Pr12Ho7Mg structure (PBE, Alexandria).

Lattice parameters (Å, degrees): 9.418 9.418 9.418 107.57 107.57 107.57
Atoms (fractional coordinates):
Pr (0.059, 0.292, 0.399)
Pr (0.219, 0.675, 0.380)
Pr (0.292, 0.399, 0.059)
Pr (0.325, 0.620, 0.781)
Pr (0.380, 0.219, 0.675)
Pr (0.399, 0.059, 0.292)
Pr (0.601, 0.941, 0.708)
Pr (0.620, 0.781, 0.325)
Pr (0.675, 0.380, 0.219)
Pr (0.708, 0.601, 0.941)
Pr (0.781, 0.325, 0.620)
Pr (0.941, 0.708, 0.601)
Ho (0.006, 0.896, 0.316)
Ho (0.104, 0.684, 0.994)
Ho (0.316, 0.006, 0.896)
Ho (0.500, 0.500, 0.500)
Ho (0.684, 0.994, 0.104)
Ho (0.896, 0.316, 0.006)
Ho (0.994, 0.104, 0.684)
Mg (0.000, 0.000, 0.000)

Output
space group	R-3 (148)
formation enthalpy at 0 K	254.8	kJ/mol of formula units
electronic total energy	-4.418	eV/atom